DFT (GGA-PBEsol) results for crystalline BaSc2Cl at its relaxed geometry.

ΔE to the lowest computed polymorph: 46.7 kJ/mol of atoms
Energy relative to the elements, uncorrected: 0.009 eV/atom
DOS at the Fermi energy: 5.4 states/eV/f.u.
Space group: Cmmm, No. 65

Cell lengths 3.4324, 5.9491, 6.6725 Å; angles 116.47, 90.00, 90.00 degrees
With the nearest neighbours (Å) after each atom.
Element x y z (fractional)
Sc: 0.0000 0.0000 0.5000  2 Sc 2.97
Sc: 0.0000 0.5000 0.5000  2 Sc 2.97
Ba: 0.5000 0.0000 0.0000  2 Cl 2.97
Cl: 0.5000 0.5000 0.0000  2 Ba 2.97